[1]
Ir2RuO6: relaxed, PBE-GGA.

POSCAR file:
```
Ir2RuO6
1.0
8.781 0.000 0.000
-4.390 7.604 0.000
0.000 0.000 4.367
Ir Ru O
6 3 18
Cartesian
-1.535 2.659 0.000
-2.999 5.194 2.183
1.391 2.410 2.183
3.071 0.000 0.000
2.855 4.945 0.000
5.998 0.000 2.183
0.000 0.000 0.000
0.000 5.069 2.162
4.390 2.535 2.205
-0.078 1.679 1.038
-1.520 4.372 1.077
-2.897 6.832 1.038
-0.067 3.391 3.218
1.493 0.772 3.329
-1.420 5.967 3.218
1.364 4.102 1.077
2.970 1.638 1.149
0.156 6.735 1.077
2.870 3.232 3.290
1.487 5.851 3.218
4.546 0.870 3.290
4.323 4.213 1.149
2.975 6.697 1.038
5.877 1.753 1.149
4.313 5.925 3.329
5.755 3.502 3.290
7.365 0.907 3.329
```

Calculated volume = 10.80 Å³ per atom
E_form (uncorrected) = -0.7531 eV/atom
Total moment = 4.3 μB per cell

---

[2]
ThAl2Pt5: relaxed, PBE-GGA.

POSCAR file:
```
ThAl2Pt5
1.0
3.951 0.000 0.000
0.000 7.102 0.000
0.000 0.000 10.063
Th Al Pt
2 4 10
Cartesian
0.000 0.000 0.000
1.975 3.551 5.032
0.000 3.551 2.435
0.000 3.551 7.628
1.975 0.000 2.596
1.975 0.000 7.467
0.000 1.430 3.602
0.000 1.430 6.461
0.000 3.551 0.000
0.000 5.672 3.602
0.000 5.672 6.461
1.975 0.000 5.032
1.975 2.121 1.430
1.975 2.121 8.633
1.975 4.981 1.430
1.975 4.981 8.633
```

Calculated volume = 17.65 Å³ per atom
Total moment = 0.0 μB per cell
ΔE_f = -0.97 eV/atom

---

[3]
LaPr5Y: relaxed, PBE-GGA.

POSCAR file:
```
LaPr5Y
1.0
5.936 0.000 0.000
0.000 8.950 0.000
0.000 0.000 12.182
La Pr Y
2 10 2
Cartesian
0.000 0.000 0.000
2.968 4.475 6.091
0.000 0.000 3.018
0.000 0.000 9.164
0.000 2.860 6.091
0.000 4.475 0.000
0.000 6.090 6.091
2.968 0.000 6.091
2.968 1.615 0.000
2.968 4.475 3.073
2.968 4.475 9.109
2.968 7.336 0.000
0.000 0.000 6.091
2.968 4.475 0.000
```

Calculated volume = 46.23 Å³ per atom
Total moment = 0.0 μB per cell
ΔE_f = 0.95 eV/atom

---

- Which value of calculated volume does entry 2 give?
  17.65 Å³ per atom